Entry 1:
First-principles (GGA-PBE) data for crystalline NiAs2RuBr at its relaxed geometry, as listed in Alexandria.

ρ, g/cm3: 5.56
VASP energy, eV for the cell shown: -21.956
Space group: P4/mmm

Lattice parameters (Å, degrees): 4.6681 4.6681 5.3413 90.00 90.00 90.00
Site moments in Bohr magnetons follow the coordinates.
Fractional coordinates of all 5 atoms:
As  0.0000  0.5000  0.0000  0.00
Ru  0.0000  0.0000  0.0000  -0.02
Br  0.0000  0.0000  0.5000  0.04
As  0.5000  0.0000  0.0000  0.00
Ni  0.5000  0.5000  0.5000  0.82

Entry 2:
First-principles (GGA-PBE) data for crystalline NdPu2As2Pd2 at its relaxed geometry, as listed in Alexandria.

ρ, g/cm3: 11.08
DFT formation energy, eV per formula unit: -5.5
VASP energy, eV for the cell shown: -58.581
Space group: R-3m

Lattice parameters (Å, degrees): 4.4925 4.4925 8.9136 75.40 75.40 60.00
Site moments in Bohr magnetons follow the coordinates.
Fractional coordinates of all 7 atoms:
Pu  0.1414  0.1414  0.5756  5.39
Nd  0.0000  0.0000  0.0000  0.07
Pu  0.8586  0.8586  0.4244  5.39
As  0.2631  0.2631  0.2107  -0.03
As  0.7369  0.7369  0.7893  -0.03
Pd  0.5772  0.5772  0.2684  -0.01
Pd  0.4228  0.4228  0.7316  -0.01

Entry 3:
First-principles (GGA-PBE) data for crystalline CuAg3Au6 at its relaxed geometry, as listed in Alexandria.

ρ, g/cm3: 14.61
DFT formation energy, eV per formula unit: 0.1
VASP energy, eV for the cell shown: -64.487
Space group: P2_1/m

Lattice parameters (Å, degrees): 2.8817 10.6365 12.6329 112.90 90.00 90.00
Fractional coordinates of all 20 atoms:
Au  0.2500  0.8791  0.5171
Cu  0.7500  0.0786  0.6802
Ag  0.2500  0.4653  0.0891
Ag  0.7500  0.5347  0.9109
Au  0.2500  0.3088  0.7042
Au  0.7500  0.9584  0.0869
Au  0.7500  0.1209  0.4829
Cu  0.2500  0.9214  0.3198
Ag  0.2500  0.3743  0.5014
Ag  0.7500  0.2370  0.1150
Au  0.7500  0.2645  0.8924
Au  0.2500  0.4400  0.3035
Au  0.7500  0.8482  0.7154
Au  0.7500  0.6912  0.2958
Ag  0.7500  0.6257  0.4986
Ag  0.2500  0.7630  0.8850
Au  0.2500  0.1518  0.2846
Au  0.7500  0.5600  0.6965
Au  0.2500  0.0416  0.9131
Au  0.2500  0.7355  0.1076

Entry 4:
First-principles (GGA-PBE) data for crystalline Zr2TcP at its relaxed geometry, as listed in Alexandria.

ρ, g/cm3: 7.29
DFT formation energy, eV per formula unit: -1.9
VASP energy, eV for the cell shown: -34.803
Space group: I-4m2

Lattice parameters (Å, degrees): 5.6388 5.6388 5.6388 140.84 140.84 56.58
Fractional coordinates of all 4 atoms:
Zr  0.0000  0.0000  0.0000
P  0.5000  0.5000  0.0000
Tc  0.7500  0.2500  0.5000
Zr  0.2500  0.7500  0.5000

Entry 5:
First-principles (GGA-PBE) data for crystalline Tb8ErAl2 at its relaxed geometry, as listed in Alexandria.

ρ, g/cm3: 7.48
DFT formation energy, eV per formula unit: 0.1
VASP energy, eV for the cell shown: -49.020
Space group: C2/m

Lattice parameters (Å, degrees): 5.5861 8.5620 8.5620 118.21 101.77 101.77
Fractional coordinates of all 11 atoms:
Er  0.5000  0.0000  0.0000
Tb  0.7045  0.4032  0.4032
Tb  0.2955  0.5968  0.5968
Tb  0.5000  0.7769  0.2231
Tb  0.1119  0.0883  0.3248
Al  0.0000  0.3078  0.6922
Tb  0.8881  0.6752  0.9117
Al  0.0000  0.6922  0.3078
Tb  0.1119  0.3248  0.0883
Tb  0.5000  0.2231  0.7769
Tb  0.8881  0.9117  0.6752

Entry 6:
First-principles (GGA-PBE) data for crystalline Dy4SiS2 at its relaxed geometry, as listed in Alexandria.

ρ, g/cm3: 7.48
VASP energy, eV for the cell shown: -83.543
Space group: Cmcm

Lattice parameters (Å, degrees): 3.9601 6.6400 13.1245 90.00 90.00 107.35
Fractional coordinates of all 14 atoms:
Dy  0.5000  0.0000  0.5000
S  0.8635  0.7271  0.5616
Dy  0.0530  0.1060  0.2500
S  0.1365  0.2729  0.0616
Dy  0.5000  0.0000  0.0000
S  0.1365  0.2729  0.4384
S  0.8635  0.7271  0.9384
Dy  0.2254  0.4508  0.8769
Dy  0.2254  0.4508  0.6231
Si  0.6090  0.2180  0.7500
Dy  0.9470  0.8940  0.7500
Si  0.3910  0.7820  0.2500
Dy  0.7746  0.5492  0.1231
Dy  0.7746  0.5492  0.3769

Entry 7:
First-principles (GGA-PBE) data for crystalline AlOsW2 at its relaxed geometry, as listed in Alexandria.

ρ, g/cm3: 15.71
DFT formation energy, eV per formula unit: 0.7
VASP energy, eV for the cell shown: -40.148
Space group: Cmmm

Lattice parameters (Å, degrees): 2.7378 2.7378 8.8766 90.00 90.00 111.71
Fractional coordinates of all 4 atoms:
W  0.0000  0.0000  0.9998
Os  0.5000  0.5000  0.7500
W  0.0000  0.0000  0.5002
Al  0.5000  0.5000  0.2500

Entry 8:
First-principles (GGA-PBE) data for crystalline NbV2I at its relaxed geometry, as listed in Alexandria.

ρ, g/cm3: 7.20
VASP energy, eV for the cell shown: -51.972
Space group: I-42d

Lattice parameters (Å, degrees): 4.0070 4.0070 9.6605 78.03 78.03 90.00
Fractional coordinates of all 8 atoms:
V  0.6476  0.1250  0.2500
I  0.0000  0.0000  0.0000
Nb  0.5000  0.5000  0.0000
V  0.8750  0.8976  0.7500
V  0.1024  0.6250  0.2500
Nb  0.2500  0.7500  0.5000
V  0.3750  0.3524  0.7500
I  0.7500  0.2500  0.5000

Entry 9:
First-principles (GGA-PBE) data for crystalline Al4Au3 at its relaxed geometry, as listed in Alexandria.

ρ, g/cm3: 9.16
DFT formation energy, eV per formula unit: -0.3
VASP energy, eV for the cell shown: -25.067
Space group: P6/mmm

Lattice parameters (Å, degrees): 5.5498 5.5498 4.7504 90.00 90.00 120.00
Fractional coordinates of all 7 atoms:
Au  0.5000  0.0000  0.0000
Au  0.0000  0.5000  0.0000
Al  0.0000  0.0000  0.2512
Al  0.6667  0.3333  0.5000
Al  0.0000  0.0000  0.7488
Al  0.3333  0.6667  0.5000
Au  0.5000  0.5000  0.0000

Entry 10:
First-principles (GGA-PBE) data for crystalline BiPdPb2 at its relaxed geometry, as listed in Alexandria.

ρ, g/cm3: 11.52
DFT formation energy, eV per formula unit: -0.5
VASP energy, eV for the cell shown: -16.953
Space group: P4/mmm

Lattice parameters (Å, degrees): 3.4919 3.4919 8.6281 90.00 90.00 90.00
Fractional coordinates of all 4 atoms:
Pd  0.5000  0.5000  0.0000
Pb  0.0000  0.0000  0.8004
Pb  0.0000  0.0000  0.1996
Bi  0.5000  0.5000  0.5000

Entry 11:
First-principles (GGA-PBE) data for crystalline HfMnNbFe at its relaxed geometry, as listed in Alexandria.

ρ, g/cm3: 10.61
DFT formation energy, eV per formula unit: -0.7
VASP energy, eV for the cell shown: -38.394
Space group: P4mm

Lattice parameters (Å, degrees): 3.1051 3.1051 6.2009 90.00 90.00 90.00
Site moments in Bohr magnetons follow the coordinates.
Fractional coordinates of all 4 atoms:
Nb  0.5000  0.5000  0.1096  -0.07
Hf  0.5000  0.5000  0.6072  -0.06
Mn  0.0000  0.0000  0.3456  -0.10
Fe  0.0000  0.0000  0.8656  0.46

Entry 12:
First-principles (GGA-PBE) data for crystalline CaErGaPd at its relaxed geometry, as listed in Alexandria.

ρ, g/cm3: 7.14
DFT formation energy, eV per formula unit: -2.5
VASP energy, eV for the cell shown: -17.256
Space group: F-43m

Lattice parameters (Å, degrees): 5.0143 5.0143 5.0143 60.00 60.00 60.00
Fractional coordinates of all 4 atoms:
Ca  0.5000  0.5000  0.5000
Ga  0.2500  0.2500  0.2500
Er  0.0000  0.0000  0.0000
Pd  0.7500  0.7500  0.7500

Entry 13:
First-principles (GGA-PBE) data for crystalline SrSnTeN2 at its relaxed geometry, as listed in Alexandria.

ρ, g/cm3: 3.93
VASP energy, eV for the cell shown: -19.708
Space group: P4/mmm

Lattice parameters (Å, degrees): 4.8191 4.8191 6.5885 90.00 90.00 90.00
Site moments in Bohr magnetons follow the coordinates.
Fractional coordinates of all 5 atoms:
N  0.5000  0.0000  0.0000  1.33
Sr  0.0000  0.0000  0.0000  0.06
Te  0.0000  0.0000  0.5000  0.09
Sn  0.5000  0.5000  0.5000  -0.10
N  0.0000  0.5000  0.0000  1.33

Entry 14:
First-principles (GGA-PBE) data for crystalline Zn2InAs at its relaxed geometry, as listed in Alexandria.

ρ, g/cm3: 6.62
DFT formation energy, eV per formula unit: 0.6
VASP energy, eV for the cell shown: -9.372
Space group: Immm

Lattice parameters (Å, degrees): 5.1941 5.1941 5.1941 136.91 120.34 76.38
Fractional coordinates of all 4 atoms:
As  0.7500  0.2500  0.5000
Zn  0.5212  0.5212  0.0000
Zn  0.9788  0.9788  0.0000
In  0.2500  0.7500  0.5000

Entry 15:
First-principles (GGA-PBE) data for crystalline LuPuCu2 at its relaxed geometry, as listed in Alexandria.

ρ, g/cm3: 11.33
DFT formation energy, eV per formula unit: -0.4
VASP energy, eV for the cell shown: -27.450
Space group: P4/mmm

Lattice parameters (Å, degrees): 3.3634 3.3634 7.0745 90.00 90.00 90.00
Site moments in Bohr magnetons follow the coordinates.
Fractional coordinates of all 4 atoms:
Cu  0.0000  0.0000  0.7287  0.01
Lu  0.5000  0.5000  0.5000  -0.04
Cu  0.0000  0.0000  0.2713  0.01
Pu  0.5000  0.5000  0.0000  5.34

Entry 16:
First-principles (GGA-PBE) data for crystalline Sn2HgF8 at its relaxed geometry, as listed in Alexandria.

ρ, g/cm3: 4.84
VASP energy, eV for the cell shown: -46.401
Space group: C2/m

Lattice parameters (Å, degrees): 4.1501 8.0539 8.0539 49.09 85.09 85.09
Fractional coordinates of all 11 atoms:
Sn  0.5524  0.7125  0.7125
F  0.0528  0.7322  0.7322
F  0.4572  0.9838  0.3665
Sn  0.4476  0.2875  0.2875
F  0.4572  0.3665  0.9838
Hg  0.0000  0.0000  0.0000
F  0.2961  0.4155  0.4155
F  0.5428  0.6335  0.0162
F  0.9472  0.2678  0.2678
F  0.5428  0.0162  0.6335
F  0.7039  0.5845  0.5845

Entry 17:
First-principles (GGA-PBE) data for crystalline PmEuErPb at its relaxed geometry, as listed in Alexandria.

ρ, g/cm3: 9.14
DFT formation energy, eV per formula unit: -0.5
VASP energy, eV for the cell shown: -23.781
Space group: F-43m

Lattice parameters (Å, degrees): 5.5662 5.5662 5.5662 60.00 60.00 60.00
Site moments in Bohr magnetons follow the coordinates.
Fractional coordinates of all 4 atoms:
Eu  0.7500  0.7500  0.7500  6.99
Er  0.5000  0.5000  0.5000  0.29
Pm  0.0000  0.0000  0.0000  0.21
Pb  0.2500  0.2500  0.2500  -0.02

Entry 18:
First-principles (GGA-PBE) data for crystalline TlPdClF2 at its relaxed geometry, as listed in Alexandria.

ρ, g/cm3: 6.67
VASP energy, eV for the cell shown: -18.819
Space group: P4/mmm

Lattice parameters (Å, degrees): 4.4212 4.4212 4.8949 90.00 90.00 90.00
Fractional coordinates of all 5 atoms:
Pd  0.0000  0.0000  0.0000
Cl  0.0000  0.0000  0.5000
Tl  0.5000  0.5000  0.5000
F  0.0000  0.5000  0.0000
F  0.5000  0.0000  0.0000

Entry 19:
First-principles (GGA-PBE) data for crystalline La5Ho4Er2 at its relaxed geometry, as listed in Alexandria.

ρ, g/cm3: 7.21
DFT formation energy, eV per formula unit: 2.1
VASP energy, eV for the cell shown: -50.014
Space group: Immm

Lattice parameters (Å, degrees): 3.5408 9.2336 12.8791 111.01 97.90 90.00
Fractional coordinates of all 11 atoms:
Er  0.2700  0.2700  0.5400
La  0.1473  0.9462  0.2945
La  0.5000  0.0000  0.0000
Ho  0.0000  0.6839  0.0000
Ho  0.5964  0.5964  0.1928
La  0.1473  0.3483  0.2945
Ho  0.4036  0.4036  0.8072
Ho  0.0000  0.3160  0.0000
La  0.8527  0.0538  0.7055
Er  0.7300  0.7300  0.4600
La  0.8527  0.6517  0.7055

Entry 20:
First-principles (GGA-PBE) data for crystalline BaCrW3 at its relaxed geometry, as listed in Alexandria.

ρ, g/cm3: 10.33
DFT formation energy, eV per formula unit: 21.1
VASP energy, eV for the cell shown: -29.313
Space group: Pm-3m

Lattice parameters (Å, degrees): 4.9196 4.9196 4.9196 90.00 90.00 90.00
Site moments in Bohr magnetons follow the coordinates.
Fractional coordinates of all 5 atoms:
Ba  0.0000  0.0000  0.0000  0.01
Cr  0.5000  0.5000  0.5000  -0.09
W  0.5000  0.0000  0.0000  0.13
W  0.0000  0.5000  0.0000  0.13
W  0.0000  0.0000  0.5000  0.09

Entry 21:
First-principles (GGA-PBE) data for crystalline SmMgH at its relaxed geometry, as listed in Alexandria.

ρ, g/cm3: 4.75
VASP energy, eV for the cell shown: -10.037
Space group: P3m1

Lattice parameters (Å, degrees): 3.5458 3.5458 5.6346 90.00 90.00 120.00
Fractional coordinates of all 3 atoms:
Mg  0.0000  0.0000  0.9340
H  0.3333  0.6667  0.6231
Sm  0.6667  0.3333  0.4430

Entry 22:
First-principles (GGA-PBE) data for crystalline YCoOs at its relaxed geometry, as listed in Alexandria.

ρ, g/cm3: 10.19
DFT formation energy, eV per formula unit: 0.6
VASP energy, eV for the cell shown: -48.476
Space group: Cmcm

Lattice parameters (Å, degrees): 4.1668 5.0150 5.6700 90.00 111.56 90.00
Fractional coordinates of all 6 atoms:
Y  0.1344  0.7500  0.2689
Co  0.1622  0.2500  0.3243
Os  0.4395  0.7500  0.8791
Y  0.8656  0.2500  0.7311
Os  0.5605  0.2500  0.1209
Co  0.8378  0.7500  0.6757

Entry 23:
First-principles (GGA-PBE) data for crystalline NiAsI2 at its relaxed geometry, as listed in Alexandria.

ρ, g/cm3: 6.93
VASP energy, eV for the cell shown: -10.276
Space group: Fm-3m

Lattice parameters (Å, degrees): 5.0814 5.0814 5.0814 60.00 60.00 60.00
Fractional coordinates of all 4 atoms:
I  0.2500  0.2500  0.2500
Ni  0.0000  0.0000  0.0000
I  0.7500  0.7500  0.7500
As  0.5000  0.5000  0.5000

Entry 24:
First-principles (GGA-PBE) data for crystalline Tb2Pr6Ho3In at its relaxed geometry, as listed in Alexandria.

ρ, g/cm3: 7.48
DFT formation energy, eV per formula unit: -0.4
VASP energy, eV for the cell shown: -54.828
Space group: C2/m

Lattice parameters (Å, degrees): 6.2420 6.2420 11.8712 95.07 95.07 120.15
Fractional coordinates of all 12 atoms:
Pr  0.2436  0.2436  0.7502
Tb  0.3335  0.6665  0.0000
In  0.0000  0.0000  0.0000
Pr  0.5900  0.9172  0.7513
Pr  0.7564  0.7564  0.2498
Tb  0.6665  0.3335  0.0000
Pr  0.0828  0.4100  0.2487
Pr  0.9172  0.5900  0.7513
Ho  0.5000  0.5000  0.5000
Pr  0.4100  0.0828  0.2487
Ho  0.8324  0.1676  0.5000
Ho  0.1676  0.8324  0.5000

Entry 25:
First-principles (GGA-PBE) data for crystalline YVS2Cl at its relaxed geometry, as listed in Alexandria.

ρ, g/cm3: 3.85
VASP energy, eV for the cell shown: -30.510
Space group: P4/mmm

Lattice parameters (Å, degrees): 4.7574 4.7574 4.5589 90.00 90.00 90.00
Site moments in Bohr magnetons follow the coordinates.
Fractional coordinates of all 5 atoms:
S  0.5000  0.0000  0.0000  -0.02
Cl  0.0000  0.0000  0.5000  0.01
V  0.0000  0.0000  0.0000  2.16
Y  0.5000  0.5000  0.5000  0.18
S  0.0000  0.5000  0.0000  -0.02

Entry 26:
First-principles (GGA-PBE) data for crystalline LiCo4Ru at its relaxed geometry, as listed in Alexandria.

ρ, g/cm3: 7.78
DFT formation energy, eV per formula unit: 1.0
VASP energy, eV for the cell shown: -38.568
Space group: F-43m

Lattice parameters (Å, degrees): 4.6990 4.6990 4.6990 60.00 60.00 60.00
Site moments in Bohr magnetons follow the coordinates.
Fractional coordinates of all 6 atoms:
Co  0.6250  0.1250  0.6250  1.75
Co  0.6250  0.6250  0.1250  1.75
Co  0.6250  0.6250  0.6250  1.75
Ru  0.0000  0.0000  0.0000  1.43
Co  0.1250  0.6250  0.6250  1.75
Li  0.2500  0.2500  0.2500  -0.04